First-principles (PBE) data for an optimized crystal structure of GaNiRh, as listed in the Alexandria database.

abc: 2.935 2.935 4.996
angles: 107.08 107.08 90.00
Atoms (fractional coordinates):
Ni1 0.322 0.322 0.645
Rh1 0.005 0.005 0.009
Ga1 0.673 0.673 0.346

Values from the calculation:
Crystal system   tetragonal
DFT total energy   -17.179 eV per cell

***

First-principles (PBE) data for an optimized crystal structure of BaSrGe2, as listed in the Alexandria database.

abc: 5.603 5.603 5.603
angles: 60.00 60.00 60.00
Atoms (fractional coordinates):
Sr1 0.000 0.000 0.000
Ge1 0.250 0.250 0.250
Ge2 0.750 0.750 0.750
Ba1 0.500 0.500 0.500

Values from the calculation:
Crystal system   cubic
Polymorph energy (0 for the lowest one)   0.94 eV per formula unit

***

First-principles (PBE) data for an optimized crystal structure of Ni3H6Pt, as listed in the Alexandria database.

abc: 4.513 5.531 5.531
angles: 102.29 90.00 90.00
Atoms (fractional coordinates):
Ni1 0.468 0.894 0.688
Ni2 0.968 0.688 0.894
Ni3 0.390 0.404 0.596
Ni4 0.890 0.596 0.404
Ni5 0.968 0.106 0.312
Ni6 0.468 0.312 0.106
H1 0.179 0.676 0.632
H2 0.679 0.632 0.676
H3 0.212 0.446 0.895
H4 0.712 0.895 0.446
H5 0.313 0.019 0.981
H6 0.596 0.225 0.775
H7 0.096 0.775 0.225
H8 0.813 0.981 0.019
H9 0.212 0.105 0.554
H10 0.712 0.554 0.105
H11 0.179 0.368 0.324
H12 0.679 0.324 0.368
Pt1 0.968 0.175 0.825
Pt2 0.468 0.825 0.175

Values from the calculation:
Crystal system   orthorhombic
DFT total energy   -85.938 eV per cell

***

First-principles (PBE) data for an optimized crystal structure of Pr3NiSn, as listed in the Alexandria database.

abc: 5.479 7.369 7.240
angles: 95.35 90.00 90.00
Atoms (fractional coordinates):
Pr1 0.543 0.982 0.657
Pr2 0.543 0.356 0.020
Pr3 0.043 0.185 0.411
Pr4 0.043 0.645 0.851
Pr5 0.543 0.501 0.475
Pr6 0.543 0.890 0.150
Ni1 0.543 0.665 0.827
Ni2 0.043 0.448 0.174
Sn1 0.043 0.742 0.390
Sn2 0.043 0.127 0.922

Values from the calculation:
Crystal system   monoclinic
Polymorph energy (0 for the lowest one)   0.00 eV per formula unit

***

First-principles (PBE) data for an optimized crystal structure of Pm2SmTm3Te6, as listed in the Alexandria database.

abc: 4.319 8.895 9.875
angles: 105.17 102.63 90.00
Atoms (fractional coordinates):
Pm1 0.833 0.666 0.666
Pm2 0.167 0.334 0.334
Sm1 0.500 0.000 0.000
Tm1 0.500 0.500 0.000
Tm2 0.833 0.167 0.665
Tm3 0.167 0.833 0.335
Te1 0.331 0.925 0.662
Te2 0.663 0.591 0.326
Te3 0.669 0.075 0.338
Te4 0.997 0.257 0.993
Te5 0.003 0.743 0.007
Te6 0.337 0.409 0.674

Values from the calculation:
Crystal system   monoclinic
Formation energy without anion corrections   -1292 meV/atom

***

First-principles (PBE) data for an optimized crystal structure of TaVRe3, as listed in the Alexandria database.

abc: 4.451 4.451 4.451
angles: 90.00 90.00 90.00
Atoms (fractional coordinates):
Re1 0.000 0.500 0.000
Re2 0.000 0.000 0.500
Re3 0.500 0.000 0.000
Ta1 0.500 0.500 0.500
V1 0.000 0.000 0.000

Values from the calculation:
Crystal system   cubic
Polymorph energy (0 for the lowest one)   0.00 eV per formula unit

***

First-principles (PBE) data for an optimized crystal structure of AlNi3Sn, as listed in the Alexandria database.

abc: 4.610 4.610 4.610
angles: 90.00 90.00 90.00
Atoms (fractional coordinates):
Ni1 0.000 0.500 0.000
Ni2 0.000 0.000 0.500
Ni3 0.500 0.000 0.000
Sn1 0.000 0.000 0.000
Al1 0.500 0.500 0.500

Values from the calculation:
Crystal system   cubic
Polymorph energy (0 for the lowest one)   2.66 eV per formula unit

***

First-principles (PBE) data for an optimized crystal structure of Ce5Th6Sc, as listed in the Alexandria database.

abc: 6.037 9.177 9.177
angles: 69.42 123.34 123.34
Atoms (fractional coordinates):
Sc1 0.000 0.000 0.000
Th1 0.248 0.081 0.413
Th2 0.752 0.587 0.919
Th3 0.745 0.247 0.247
Th4 0.255 0.753 0.753
Th5 0.248 0.413 0.081
Th6 0.752 0.919 0.587
Ce1 0.500 0.169 0.831
Ce2 0.000 0.334 0.666
Ce3 0.500 0.500 0.500
Ce4 0.000 0.666 0.334
Ce5 0.500 0.831 0.169

Values from the calculation:
Crystal system   monoclinic
DFT total energy   -80.175 eV per cell

***

First-principles (PBE) data for an optimized crystal structure of CaOsRu, as listed in the Alexandria database.

abc: 5.855 5.855 5.855
angles: 151.97 141.87 47.99
Atoms (fractional coordinates):
Ru1 0.709 0.709 0.000
Ca1 0.999 0.999 0.000
Os1 0.292 0.292 0.000

Values from the calculation:
Crystal system   orthorhombic
Polymorph energy (0 for the lowest one)   0.66 eV per formula unit

***

First-principles (PBE) data for an optimized crystal structure of Pr7Er, as listed in the Alexandria database.

abc: 7.372 7.372 7.372
angles: 60.00 60.00 60.00
Atoms (fractional coordinates):
Pr1 0.500 0.500 0.000
Pr2 0.500 0.000 0.500
Pr3 0.000 0.500 0.500
Pr4 0.500 0.000 0.000
Pr5 0.000 0.500 0.000
Pr6 0.000 0.000 0.500
Pr7 0.500 0.500 0.500
Er1 0.000 0.000 0.000

Values from the calculation:
Crystal system   cubic
DFT total energy   -37.955 eV per cell

***

First-principles (PBE) data for an optimized crystal structure of MnSiAs2, as listed in the Alexandria database.

abc: 2.981 2.973 7.889
angles: 67.45 90.00 90.00
Atoms (fractional coordinates):
As1 0.000 0.076 0.918
As2 0.500 0.172 0.332
Mn1 0.000 0.457 0.547
Si1 0.500 0.796 0.703

Values from the calculation:
Crystal system   monoclinic
Formation energy without anion corrections   41 meV/atom

***

First-principles (PBE) data for an optimized crystal structure of AgHgRh2, as listed in the Alexandria database.

abc: 4.944 4.944 4.934
angles: 80.18 80.18 33.83
Atoms (fractional coordinates):
Ag1 0.500 0.500 0.000
Hg1 0.000 0.000 0.500
Rh1 0.250 0.250 0.757
Rh2 0.750 0.750 0.243

Values from the calculation:
Crystal system   monoclinic
DFT total energy   -16.909 eV per cell

***

First-principles (PBE) data for an optimized crystal structure of MnTlCl, as listed in the Alexandria database.

abc: 4.616 4.616 3.831
angles: 90.00 90.00 120.00
Site moments in Bohr magnetons follow the coordinates.
Atoms (fractional coordinates):
Cl1 0.000 0.000 0.166  0.07
Mn1 0.333 0.667 0.167  4.14
Tl1 0.667 0.333 0.667  0.00

Values from the calculation:
Crystal system   hexagonal
Formation energy without anion corrections   100 meV/atom
Polymorph energy (0 for the lowest one)   0.79 eV per formula unit